VASP calculation (PBE+U) on crystalline KMnPbO3 at its relaxed geometry.

The structure in extended XYZ format:
```
12
Lattice="3.110 0.000 0.000 0.000 6.951 0.323 0.000 -1.290 9.768" Properties=species:S:1:pos:R:3 pbc="T T T"
K 0.778 0.725 1.727
K 2.333 4.936 8.364
Mn 0.778 4.206 1.272
Mn 2.333 1.455 8.819
Pb 0.778 0.754 5.606
Pb 2.333 4.907 4.486
O 2.333 5.428 1.598
O 0.778 0.233 8.493
O 0.778 5.423 6.055
O 2.333 0.238 4.036
O 2.333 2.920 1.232
O 0.778 2.741 8.859
```

## Properties
Mass density (g/cm3): 5.46
Space-group type: P2_1/m, No. 11
Total energy (eV/atom): -5.8647